Entry 1:
Here is a relaxed TbPm3Hg3 crystal from Alexandria via LeMat-Bulk. Energies are from PBE-GGA.

It has space group Cmmm (No. 65), with a = 10.372 Å, b = 10.822 Å, c = 7.361 Å, α = 90.00°, β = 90.00° and γ = 90.00°. The inequivalent atoms are Tb at (0.000, 0.211, 0.000), Pm at (0.000, 0.279, 0.500), Pm at (0.191, 0.500, 0.000), Pm at (0.247, 0.500, 0.500), Hg at (0.000, 0.000, 0.275) and Hg at (0.250, 0.250, 0.242).

Its total energy is -87.8 eV/cell. As for the calculated formation energy: -310 meV per atom.


Entry 2:
Here is a relaxed TbPmHg crystal from Alexandria via LeMat-Bulk. Energies are from PBE-GGA.

It has space group I4mm (No. 107), with a = 3.686 Å, b = 3.686 Å, c = 12.860 Å, α = 90.00°, β = 90.00° and γ = 90.00°. The inequivalent atoms are Tb at (0.000, 0.000, 0.000), Pm at (0.000, 0.000, 0.692) and Hg at (0.000, 0.000, 0.354).

Its total energy is -21.2 eV/cell. Its relative energy among the computed polymorphs is 0.000 eV/atom. As for the calculated formation energy: -305 meV per atom.


Entry 3:
Here is a relaxed Tb4Pm5Hg crystal from Alexandria via LeMat-Bulk. Energies are from PBE-GGA.

It has space group P4/mmm (No. 123), with a = 3.639 Å, b = 3.639 Å, c = 24.290 Å, α = 90.00°, β = 90.00° and γ = 90.00°. The inequivalent atoms are Tb at (0.000, 0.000, 0.104), Tb at (0.000, 0.000, 0.311), Pm at (0.500, 0.500, 0.000), Pm at (0.500, 0.500, 0.207), Pm at (0.500, 0.500, 0.415) and Hg at (0.000, 0.000, 0.500).

Its total energy is -43.4 eV/cell. As for the calculated formation energy: -79 meV per atom.


Entry 4:
Here is a relaxed Tb2Pm2Hg5 crystal from Alexandria via LeMat-Bulk. Energies are from PBE-GGA.

It has space group Cmce (No. 64), with a = 16.211 Å, b = 8.423 Å, c = 7.526 Å, α = 90.00°, β = 90.00° and γ = 90.00°. The inequivalent atoms are Tb at (0.000, 0.165, 0.149), Pm at (0.196, 0.000, 0.500), Hg at (0.000, 0.000, 0.500) and Hg at (0.138, 0.156, 0.863).

Its total energy is -93.2 eV/cell. As for the calculated formation energy: -338 meV per atom.


Entry 5:
Here is a relaxed Tb3PmHg crystal from Alexandria via LeMat-Bulk. Energies are from PBE-GGA.

It has space group C2/m (No. 12), with a = 11.317 Å, b = 7.430 Å, c = 7.971 Å, α = 90.00°, β = 110.81° and γ = 90.00°. The inequivalent atoms are Tb at (0.061, 0.000, 0.243), Tb at (0.161, 0.249, 0.643), Pm at (0.059, 0.500, 0.238) and Hg at (0.242, 0.000, 0.000).

Its total energy is -77.9 eV/cell. Its relative energy among the computed polymorphs is 0.075 eV/atom. As for the calculated formation energy: -107 meV per atom.


Entry 6:
Here is a relaxed Tb2PmHg3 crystal from Alexandria via LeMat-Bulk. Energies are from PBE-GGA.

It has space group P4/mmm (No. 123), with a = 3.764 Å, b = 3.764 Å, c = 11.290 Å, α = 90.00°, β = 90.00° and γ = 90.00°. The inequivalent atoms are Tb at (0.000, 0.000, 0.164), Pm at (0.000, 0.000, 0.500), Hg at (0.500, 0.500, 0.000) and Hg at (0.500, 0.500, 0.325).

Its total energy is -17.8 eV/cell. As for the calculated formation energy: -477 meV per atom.